Entry 1:
# Sm2IBrN

A relaxed structure of Sm2IBrN (PBE-GGA, Alexandria).

ΔE_f (raw) = -1.51 eV per atom
ρ = 5.65 g cm⁻³

Cell: 16.4650 4.0198 11.6549 Å, 90.00 127.41 90.00°
Last column: nearest neighbours and their distance in Å.
Space group C2/m (No. 12)
One atom of each set of equivalent atoms:
Sm1 0.1037 0.0000 0.3935  2 N 2.31
Sm2 0.1086 0.5000 0.6703  2 N 2.25-2.27
I1 0.1960 0.5000 0.2641  5 Sm 3.29-3.46
Br1 0.1125 0.0000 0.8736  3 Sm 2.98-3.08
N1 0.0608 0.5000 0.4419  4 Sm 2.25-2.31



Entry 2:
# SnIBrN2

A relaxed structure of SnIBrN2 (PBE-GGA, Alexandria).

ΔE_f (raw) = 1.31 eV per atom
offset from the most stable computed form = 0.000 eV/atom
ρ = 4.53 g cm⁻³

Cell: 4.2147 4.2147 7.3031 Å, 90.00 90.00 90.00°
Last column: nearest neighbours and their distance in Å.
Space group P4/mmm (No. 123)
One atom of each set of equivalent atoms:
Sn1 0.0000 0.0000 0.0000  4 N 2.11
I1 0.0000 0.0000 0.5000  4 Br 2.98
Br1 0.5000 0.5000 0.5000  4 I 2.98
N1 0.0000 0.5000 0.0000  2 Sn 2.11



Entry 3:
# SnI2BrN

A relaxed structure of SnI2BrN (PBE-GGA, Alexandria).

ΔE_f (raw) = 0.69 eV per atom
offset from the most stable computed form = 0.000 eV/atom
ρ = 5.16 g cm⁻³

Cell: 6.1427 6.1427 3.9800 Å, 90.00 90.00 90.00°
Last column: nearest neighbours and their distance in Å.
Space group P4/mmm (No. 123)
One atom of each set of equivalent atoms:
Sn1 0.0000 0.0000 0.0000  2 N 1.99
I1 0.0000 0.5000 0.0000  2 Sn 3.07
Br1 0.5000 0.5000 0.5000  8 I 3.66, 2 Br 3.98
N1 0.0000 0.0000 0.5000  2 Sn 1.99



Entry 4:
# SnIBrN2

A relaxed structure of SnIBrN2 (PBE-GGA, Alexandria).

ΔE_f (raw) = 1.58 eV per atom
offset from the most stable computed form = 0.268 eV/atom
ρ = 5.06 g cm⁻³

Cell: 4.1984 4.1984 6.5766 Å, 90.00 90.00 90.00°
Last column: nearest neighbours and their distance in Å.
Space group P4/mmm (No. 123)
One atom of each set of equivalent atoms:
Sn1 0.0000 0.0000 0.0000  4 Br 2.97
I1 0.5000 0.5000 0.5000  4 N 2.10
Br1 0.5000 0.5000 0.0000  4 Sn 2.97, 2 I 3.29
N1 0.0000 0.5000 0.5000  2 I 2.10



Entry 5:
# SnI2BrN

A relaxed structure of SnI2BrN (PBE-GGA, Alexandria).

ΔE_f (raw) = 1.00 eV per atom
offset from the most stable computed form = 0.318 eV/atom
ρ = 4.90 g cm⁻³

Cell: 6.4824 6.4824 3.7595 Å, 90.00 90.00 90.00°
Last column: nearest neighbours and their distance in Å.
Space group P4/mmm (No. 123)
One atom of each set of equivalent atoms:
Sn1 0.0000 0.0000 0.0000  8 I 3.75, 2 Sn 3.76
I1 0.0000 0.5000 0.5000  2 Br 3.24
Br1 0.5000 0.5000 0.5000  2 N 1.88
N1 0.5000 0.5000 0.0000  2 Br 1.88



Entry 6:
# SnIBrN2

A relaxed structure of SnIBrN2 (PBE-GGA, Alexandria).

ΔE_f (raw) = 1.92 eV per atom
offset from the most stable computed form = 0.608 eV/atom
ρ = 4.64 g cm⁻³

Cell: 4.3211 4.3211 6.7735 Å, 90.00 90.00 90.00°
Last column: nearest neighbours and their distance in Å.
Space group P4/mmm (No. 123)
One atom of each set of equivalent atoms:
Sn1 0.0000 0.0000 0.0000  4 I 3.06
I1 0.5000 0.5000 0.0000  4 Sn 3.06, 2 Br 3.39
Br1 0.5000 0.5000 0.5000  4 N 2.16
N1 0.0000 0.5000 0.5000  2 Br 2.16



Entry 7:
# SrI2BrN

A relaxed structure of SrI2BrN (PBE-GGA, Alexandria).

ΔE_f (raw) = 0.27 eV per atom
offset from the most stable computed form = 0.000 eV/atom
ρ = 3.38 g cm⁻³

Cell: 6.4863 6.4863 5.0804 Å, 90.00 90.00 90.00°
Last column: nearest neighbours and their distance in Å.
Space group P4/mmm (No. 123)
One atom of each set of equivalent atoms:
Sr1 0.0000 0.0000 0.0000  2 N 2.54
I1 0.0000 0.5000 0.0000  2 Sr 3.24
Br1 0.5000 0.5000 0.5000  8 I 4.12, 4 N 4.59
N1 0.0000 0.0000 0.5000  2 Sr 2.54



Entry 8:
# SrI2BrN

A relaxed structure of SrI2BrN (PBE-GGA, Alexandria).

ΔE_f (raw) = 0.32 eV per atom
offset from the most stable computed form = 0.049 eV/atom
ρ = 4.38 g cm⁻³

Cell: 6.5310 6.5310 3.8730 Å, 90.00 90.00 90.00°
Last column: nearest neighbours and their distance in Å.
Space group P4/mmm (No. 123)
One atom of each set of equivalent atoms:
Sr1 0.0000 0.0000 0.0000  8 I 3.80, 2 Sr 3.87
I1 0.0000 0.5000 0.5000  2 Br 3.27
Br1 0.5000 0.5000 0.5000  2 N 1.94
N1 0.5000 0.5000 0.0000  2 Br 1.94